Here is a relaxed structure of SrHoCuSe3 from Alexandria via LeMat-Bulk. Energies are from PBE-GGA.

Geometry as CIF:
```
data_SrHoCuSe3
_symmetry_space_group_name_H-M 'P 1 21/m 1'
_symmetry_Int_Tables_number 11
_symmetry_space_group_name_Hall '-P 2yb'
_cell_length_a 8.5435
_cell_length_b 4.0813
_cell_length_c 9.0802
_cell_angle_alpha 90.00
_cell_angle_beta 104.11
_cell_angle_gamma 90.00
loop_
_atom_site_label
_atom_site_fract_x
_atom_site_fract_y
_atom_site_fract_z
Sr1 0.1898 0.2500 0.2419
Ho1 0.3249 0.7500 0.8338
Cu1 0.0799 0.2500 0.5837
Se1 0.1013 0.2500 0.8634
Se2 0.2242 0.7500 0.5151
Se3 0.4386 0.7500 0.1634
```

- final energy (Ry/atom) = -0.3684
- ΔE_f (raw) (eV per atom) = -1.544


Here is a relaxed structure of TbHo2CuSe5 from Alexandria via LeMat-Bulk. Energies are from PBE-GGA.

Geometry as CIF:
```
data_TbHo2CuSe5
_symmetry_space_group_name_H-M 'C m c 21'
_symmetry_Int_Tables_number 36
_symmetry_space_group_name_Hall 'C 2c -2'
_cell_length_a 3.9748
_cell_length_b 17.5783
_cell_length_c 11.9450
_cell_angle_alpha 90.00
_cell_angle_beta 90.00
_cell_angle_gamma 90.00
loop_
_atom_site_label
_atom_site_fract_x
_atom_site_fract_y
_atom_site_fract_z
Tb1 0.0000 0.1926 0.0000
Ho1 0.0000 0.1066 0.6734
Ho2 0.0000 0.1197 0.2961
Cu1 0.0000 0.4361 0.4466
Se1 0.0000 0.0407 0.0566
Se2 0.0000 0.2893 0.6702
Se3 0.0000 0.3178 0.3295
Se4 0.0000 0.3579 0.9908
Se5 0.0000 0.4980 0.7708
```

- final energy (Ry/atom) = -0.3997
- ΔE_f (raw) (eV per atom) = -1.515